Entry from the Alexandria database: a geometry-optimized CsNa2Ca structure (PBE-GGA).

Unit cell a=4.265 b=6.808 c=6.808 alpha=90.00 beta=90.00 gamma=90.00
Sites, in units of the cell vectors:
Cs: 0.500 0.000 0.000
Na: 0.000 0.000 0.500
Na: 0.000 0.500 0.000
Ca: 0.500 0.500 0.500

Distance to the lowest polymorph of the same formula, meV/atom: 32
ΔH_f (0 K), meV/atom: 124
Calculated volume, A^3/atom: 49.4
Fermi-level density of states, states/eV/cell: 3.0
SG: P4/mmm, No. 123
Electronic total energy, eV per atom: -1.2494

***

Entry from the Alexandria database: a geometry-optimized Sm2YHg structure (PBE-GGA).

Unit cell a=3.663 b=3.663 c=10.983 alpha=80.40 beta=80.40 gamma=60.00
Sites, in units of the cell vectors:
Y: 0.500 0.500 0.500
Hg: 0.000 0.000 0.000
Sm: 0.257 0.257 0.230
Sm: 0.743 0.743 0.770

Distance to the lowest polymorph of the same formula, meV/atom: 90
ΔH_f (0 K), meV/atom: -141
Calculated volume, A^3/atom: 31.3
Fermi-level density of states, states/eV/cell: 4.2
SG: R-3m, No. 166
Electronic total energy, eV per atom: -4.1925

***

Entry from the Alexandria database: a geometry-optimized Pa2AlNiN5 structure (PBE-GGA).

Unit cell a=3.312 b=6.509 c=9.957 alpha=90.00 beta=90.00 gamma=104.74
Sites, in units of the cell vectors:
Pa: 0.850 0.699 0.802
Pa: 0.097 0.193 0.674
Pa: 0.150 0.301 0.302
Pa: 0.903 0.807 0.174
Al: 0.796 0.592 0.507
Al: 0.204 0.408 0.007
Ni: 0.527 0.053 0.953
Ni: 0.473 0.947 0.453
N: 0.365 0.730 0.997
N: 0.678 0.357 0.887
N: 0.485 0.970 0.770
N: 0.275 0.549 0.668
N: 0.941 0.881 0.566
N: 0.635 0.270 0.497
N: 0.322 0.643 0.387
N: 0.515 0.030 0.270
N: 0.725 0.451 0.168
N: 0.059 0.119 0.066

Calculated volume, A^3/atom: 11.5
Fermi-level density of states, states/eV/cell: 5.2
ΔE_f (raw), eV/atom: -0.997
SG: Cmc2_1, No. 36
Electronic total energy, eV per atom: -8.7911